Entry 1:
Sm4Ag2Hg after structural relaxation, computed with PBE.

abc: 7.488 10.431 5.146
angles: 90.00 90.00 90.00
Space group Cmmm (No. 65)
Symmetry-distinct sites (fractional):
Sm  0.238  0.000  0.000
Sm  0.250  0.250  0.500
Ag  0.000  0.253  0.000
Hg  0.000  0.500  0.500

***

Entry 2:
Sm11Ag4Hg9 after structural relaxation, computed with PBE.

abc: 14.896 22.311 3.798
angles: 90.00 90.00 90.00
Space group Cmmm (No. 65)
Symmetry-distinct sites (fractional):
Sm  0.000  0.000  0.000
Sm  0.000  0.169  0.000
Sm  0.000  0.361  0.000
Sm  0.224  0.500  0.000
Sm  0.239  0.173  0.000
Ag  0.148  0.404  0.500
Hg  0.000  0.500  0.500
Hg  0.109  0.263  0.500
Hg  0.135  0.077  0.500

***

Entry 3:
SmAg3Hg2 after structural relaxation, computed with PBE.

abc: 15.397 4.285 9.470
angles: 90.00 122.35 90.00
Space group C2/m (No. 12)
Symmetry-distinct sites (fractional):
Sm  0.113  0.000  0.473
Ag  0.071  0.000  0.935
Ag  0.080  0.500  0.177
Ag  0.247  0.500  0.098
Hg  0.074  0.500  0.717
Hg  0.230  0.000  0.294

***

Entry 4:
Sm6AgHg after structural relaxation, computed with PBE.

abc: 5.189 5.189 18.004
angles: 90.00 90.00 90.00
Space group I4/mmm (No. 139)
Symmetry-distinct sites (fractional):
Sm  0.000  0.000  0.250
Sm  0.000  0.500  0.109
Ag  0.000  0.000  0.000
Hg  0.000  0.000  0.500

***

Entry 5:
Sm3Ag3Hg2 after structural relaxation, computed with PBE.

abc: 7.5831 7.5831 4.0765
angles: 90.00 90.00 120.00
Space group P-62m (No. 189)
Symmetry-distinct sites (fractional):
Sm  0.0000  0.3726  0.0000
Ag  0.0000  0.7731  0.5000
Hg  0.3333  0.6667  0.5000

***

Entry 6:
Sm5AgHg2 after structural relaxation, computed with PBE.

abc: 7.770 7.770 15.571
angles: 90.00 90.00 90.00
Space group I4/mcm (No. 140)
Symmetry-distinct sites (fractional):
Sm  0.000  0.000  0.000
Sm  0.163  0.337  0.154
Ag  0.000  0.000  0.250
Hg  0.132  0.368  0.500

***

Entry 7:
Sm2Ag2Hg3 after structural relaxation, computed with PBE.

abc: 10.231 4.675 7.432
angles: 90.00 108.95 90.00
Space group C2/m (No. 12)
Symmetry-distinct sites (fractional):
Sm  0.139  0.000  0.268
Ag  0.157  0.000  0.697
Hg  0.000  0.500  0.500
Hg  0.122  0.500  0.937

***

Entry 8:
Sm3Ag2Hg after structural relaxation, computed with PBE.

abc: 3.747 3.747 11.158
angles: 90.00 90.00 90.00
Space group P4/mmm (No. 123)
Symmetry-distinct sites (fractional):
Sm  0.000  0.000  0.000
Sm  0.000  0.000  0.329
Ag  0.500  0.500  0.164
Hg  0.500  0.500  0.500

***

Entry 9:
SmAgHg2 after structural relaxation, computed with PBE.

abc: 4.608 4.608 4.595
angles: 90.00 90.00 90.00
Space group P4/mmm (No. 123)
Symmetry-distinct sites (fractional):
Sm  0.000  0.000  0.000
Ag  0.500  0.500  0.000
Hg  0.000  0.500  0.500

***

Entry 10:
Sm6AgHg5 after structural relaxation, computed with PBE.

abc: 5.320 15.963 7.620
angles: 90.00 90.00 90.00
Space group Cmmm (No. 65)
Symmetry-distinct sites (fractional):
Sm  0.000  0.000  0.248
Sm  0.000  0.334  0.249
Ag  0.000  0.500  0.000
Hg  0.000  0.166  0.500
Hg  0.000  0.167  0.000
Hg  0.000  0.500  0.500

***

Entry 11:
Sm2Ag2Hg3 after structural relaxation, computed with PBE.

abc: 10.369 4.729 7.170
angles: 90.00 106.57 90.00
Space group C2/m (No. 12)
Symmetry-distinct sites (fractional):
Sm  0.128  0.000  0.258
Ag  0.110  0.500  0.925
Hg  0.000  0.500  0.500
Hg  0.175  0.000  0.715

***

Entry 12:
Sm2AgHg after structural relaxation, computed with PBE.

abc: 7.503 7.503 7.503
angles: 90.00 90.00 90.00
Space group Fm-3m (No. 225)
Symmetry-distinct sites (fractional):
Sm  0.250  0.250  0.250
Ag  0.000  0.000  0.000
Hg  0.000  0.000  0.500

***

Calculated values (eV per formula unit) of DFT formation energy for the records, taken in order: -1.3; -9.4; -1.0; -1.4; -2.3; -1.9; -2.1; -2.1; -1.0; -5.3; -2.2; -1.5.